w | Entry from Alexandria: a geometry-optimized BaHgSb2I structure (PBE).

The structure in POSCAR format:
```
BaHgSb2I
1.0
5.5163 0.0000 0.0000
0.0000 5.5163 0.0000
0.0000 0.0000 6.7327
Ba Hg Sb I
1 1 2 1
Cartesian
0.0000 0.0000 0.0000
2.7581 2.7581 3.3664
0.0000 2.7581 3.3664
2.7581 0.0000 3.3664
2.7581 2.7581 0.0000
```

Summary:
Fermi-level density of states, states/eV/cell: 5.73
Space group: No. 123
Calculated volume, A^3/atom: 40.97


x | Entry from Alexandria: a geometry-optimized BaHgSb2I structure (PBE).

The structure in POSCAR format:
```
BaHgSb2I
1.0
7.1693 0.0000 0.0000
0.0000 7.1693 0.0000
0.0000 0.0000 6.6788
Ba Hg Sb I
1 1 2 1
Cartesian
0.0000 0.0000 0.0000
3.5847 3.5847 3.3394
0.0000 3.5847 0.0000
3.5847 0.0000 0.0000
0.0000 0.0000 3.3394
```

Summary:
Fermi-level density of states, states/eV/cell: 1.47
Space group: No. 123
Calculated volume, A^3/atom: 68.66


Most stable pick: w. Distance to second place: 472 meV per atom.


w | Entry from Alexandria: a geometry-optimized BaHgTeI2 structure (PBE).

The structure in POSCAR format:
```
BaHgTeI2
1.0
5.9305 0.0000 0.0000
0.0000 5.9305 0.0000
0.0000 0.0000 5.8310
Ba Hg Te I
1 1 1 2
Cartesian
0.0000 0.0000 0.0000
2.9652 2.9652 2.9155
2.9652 2.9652 0.0000
0.0000 2.9652 2.9155
2.9652 0.0000 2.9155
```

Summary:
Fermi-level density of states, states/eV/cell: 2.32
Space group: No. 123
Calculated volume, A^3/atom: 41.02


x | Entry from Alexandria: a geometry-optimized BaHgTeI2 structure (PBE).

The structure in POSCAR format:
```
BaHgTeI2
1.0
6.7407 0.0000 0.0000
0.0000 6.7407 0.0000
0.0000 0.0000 7.2093
Ba Hg Te I
1 1 1 2
Cartesian
0.0000 0.0000 0.0000
3.3704 3.3704 3.6046
0.0000 0.0000 3.6046
0.0000 3.3704 0.0000
3.3704 0.0000 0.0000
```

Summary:
Fermi-level density of states, states/eV/cell: 3.69
Space group: No. 123
Calculated volume, A^3/atom: 65.51


Most stable pick: w. Distance to second place: 202 meV per atom.


w | Entry from Alexandria: a geometry-optimized BaIn6Hg4 structure (PBE).

The structure in POSCAR format:
```
BaIn6Hg4
1.0
-4.1246 4.1246 5.0455
4.1246 -4.1246 5.0455
4.1246 4.1246 -5.0455
Ba In Hg
1 6 4
Cartesian
0.0000 0.0000 0.0000
4.1246 0.0000 0.0000
1.1180 -1.1180 3.5355
-1.1180 1.1180 3.5355
0.0000 4.1246 0.0000
3.0066 3.0066 1.5100
1.1180 1.1180 6.5555
2.2928 2.2928 -1.2555
1.8317 -1.8317 6.3010
1.8317 1.8317 3.7900
-1.8317 1.8317 6.3010
```

Summary:
Fermi-level density of states, states/eV/cell: 5.18
Space group: No. 121
Calculated volume, A^3/atom: 31.21


x | Entry from Alexandria: a geometry-optimized BaIn6Hg4 structure (PBE).

The structure in POSCAR format:
```
BaIn6Hg4
1.0
8.6482 0.0000 0.0000
-4.3241 7.4896 0.0000
0.0000 0.0000 4.8554
Ba In Hg
1 6 4
Cartesian
0.0000 0.0000 0.0000
0.0000 3.0412 2.4277
-1.6904 5.9690 2.4277
4.3241 0.5564 0.0000
2.6439 3.4666 0.0000
1.6904 5.9690 2.4277
6.0043 3.4666 0.0000
0.0000 4.9930 0.0000
2.5543 1.4747 2.4277
6.0939 1.4747 2.4277
4.3241 4.5401 2.4277
```

Summary:
Fermi-level density of states, states/eV/cell: 5.84
Space group: No. 187
Calculated volume, A^3/atom: 28.59


Most stable pick: x. Distance to second place: 66 meV per atom.


w | Entry from Alexandria: a geometry-optimized BaIn12Hg6 structure (PBE).

The structure in POSCAR format:
```
BaIn12Hg6
1.0
6.9957 4.0390 3.2670
-6.9957 4.0390 3.2670
0.0000 -8.0779 3.2670
Ba In Hg
1 12 6
Cartesian
0.0000 0.0000 0.0000
-2.7452 -4.7548 4.9005
-5.4903 0.0000 4.9005
-1.6285 -0.9402 3.3805
1.6285 -0.9402 3.3805
0.0000 1.8805 3.3805
2.7452 -4.7548 4.9005
-2.7452 4.7548 4.9005
0.0000 -1.8805 6.4204
-1.6285 0.9402 6.4204
1.6285 0.9402 6.4204
5.4903 0.0000 4.9005
2.7452 4.7548 4.9005
-3.4704 -2.0036 5.4891
0.0000 -4.0072 4.3119
-3.4704 2.0036 4.3119
3.4704 -2.0036 5.4891
0.0000 4.0073 5.4891
3.4704 2.0036 4.3119
```

Summary:
Fermi-level density of states, states/eV/cell: 10.41
Space group: No. 166
Calculated volume, A^3/atom: 29.15


x | Entry from Alexandria: a geometry-optimized BaIn12Hg6 structure (PBE).

The structure in POSCAR format:
```
BaIn12Hg6
1.0
4.4597 2.5748 7.8207
-4.4597 2.5748 7.8207
0.0000 -5.1496 7.8207
Ba In Hg
1 12 6
Cartesian
0.0000 0.0000 0.0000
-3.1577 -1.2294 11.9680
-1.8296 -0.0134 9.3473
-0.5142 -3.3494 11.4941
-2.6435 2.1200 11.4941
-0.9032 -1.5911 14.1148
0.9264 -1.5778 9.3473
-0.9264 1.5778 14.1148
0.9032 1.5911 9.3473
2.6435 -2.1200 11.9680
0.5142 3.3494 11.9680
1.8296 0.0134 14.1148
3.1577 1.2294 11.4941
-1.8461 0.5376 6.4291
0.4575 -1.8676 6.4291
-1.3887 -1.3300 17.0330
1.3887 1.3300 6.4291
-0.4575 1.8676 17.0330
1.8461 -0.5376 17.0330
```

Summary:
Fermi-level density of states, states/eV/cell: 9.96
Space group: No. 148
Calculated volume, A^3/atom: 28.36


Most stable pick: x. Distance to second place: 29 meV per atom.


w | Entry from Alexandria: a geometry-optimized Ba3In4Hg4 structure (PBE).

The structure in POSCAR format:
```
Ba3In4Hg4
1.0
4.3861 0.0000 0.0000
-0.0021 5.1106 0.0000
-2.1800 -2.5504 15.7992
Ba In Hg
3 4 4
Cartesian
0.0000 0.0000 0.0000
0.0068 2.5600 4.6461
2.1971 0.0003 11.1531
0.0083 0.0013 8.0424
-0.0037 2.5577 12.8114
2.2076 0.0026 2.9877
2.1956 2.5590 7.7567
0.0041 2.5549 9.8549
0.0016 0.0032 14.2564
2.2023 2.5570 1.5428
2.1998 0.0054 5.9443
```

Summary:
Fermi-level density of states, states/eV/cell: 7.09
Space group: No. 2
Calculated volume, A^3/atom: 32.20


x | Entry from Alexandria: a geometry-optimized Ba3In4Hg4 structure (PBE).

The structure in POSCAR format:
```
Ba3In4Hg4
1.0
-2.4910 4.1120 8.5423
2.4910 -4.1120 8.5423
2.4910 4.1120 -8.5423
Ba In Hg
3 4 4
Cartesian
0.0000 0.0000 0.0000
2.4910 0.0000 6.2807
0.0000 4.1120 2.2617
2.4910 1.5608 -2.8405
2.4910 1.5608 2.8405
0.0000 2.5512 5.7018
0.0000 2.5512 11.3829
0.0000 0.0000 3.6938
2.4910 2.6046 0.0000
0.0000 1.5074 8.5423
0.0000 0.0000 13.3909
```

Summary:
Fermi-level density of states, states/eV/cell: 7.33
Space group: No. 71
Calculated volume, A^3/atom: 31.82


Most stable pick: w. Distance to second place: 28 meV per atom.


w | Entry from Alexandria: a geometry-optimized BaIn4Hg6 structure (PBE).

The structure in POSCAR format:
```
BaIn4Hg6
1.0
-3.9680 3.9680 5.4327
3.9680 -3.9680 5.4327
3.9680 3.9680 -5.4327
Ba In Hg
1 4 6
Cartesian
0.0000 0.0000 0.0000
2.6121 2.6121 -0.9857
1.3559 -1.3559 6.4183
1.3559 1.3559 4.4470
-1.3559 1.3559 6.4183
3.9680 0.0000 0.0000
1.4981 -1.4981 3.3458
-1.4981 1.4981 3.3458
0.0000 3.9680 0.0000
2.4699 2.4699 2.0869
1.4981 1.4981 7.5195
```

Summary:
Fermi-level density of states, states/eV/cell: 4.49
Space group: No. 121
Calculated volume, A^3/atom: 31.10


x | Entry from Alexandria: a geometry-optimized BaIn4Hg6 structure (PBE).

The structure in POSCAR format:
```
BaIn4Hg6
1.0
8.6739 0.0000 0.0000
-4.3370 7.5119 0.0000
0.0000 0.0000 4.7833
Ba In Hg
1 4 6
Cartesian
0.0000 0.0000 0.0000
-1.8466 5.5578 2.3916
0.4471 3.1338 2.3916
1.3995 6.3322 2.3916
4.3370 2.5040 0.0000
-1.5167 3.6970 0.0000
2.6185 1.1335 2.3916
-0.3769 6.9769 0.0000
1.8936 4.3498 0.0000
4.0094 4.6774 2.3916
6.3830 1.7009 2.3916
```

Summary:
Fermi-level density of states, states/eV/cell: 2.74
Space group: No. 174
Calculated volume, A^3/atom: 28.34


Most stable pick: x. Distance to second place: 80 meV per atom.


w | Entry from Alexandria: a geometry-optimized BaInHg4 structure (PBE).

The structure in POSCAR format:
```
BaInHg4
1.0
0.0000 4.4540 4.4540
4.4540 0.0000 4.4540
4.4540 4.4540 0.0000
Ba In Hg
1 1 4
Cartesian
0.0000 0.0000 0.0000
2.2270 2.2270 2.2270
5.5620 3.3461 3.3461
3.3461 5.5620 3.3461
3.3461 3.3461 5.5620
5.5620 5.5620 5.5620
```

Summary:
Fermi-level density of states, states/eV/cell: 2.86
Space group: No. 216
Calculated volume, A^3/atom: 29.45


x | Entry from Alexandria: a geometry-optimized BaInHg4 structure (PBE).

The structure in POSCAR format:
```
BaInHg4
1.0
11.3996 0.0000 0.0000
0.0000 15.0246 0.0000
0.0000 0.0000 4.3671
Ba In Hg
4 4 16
Cartesian
1.6152 2.0730 0.0000
4.0846 9.5853 0.0000
7.3150 5.4393 0.0000
9.7844 12.9516 0.0000
0.2100 5.9628 0.0000
5.4898 13.4750 0.0000
5.9098 1.5495 0.0000
11.1896 9.0618 0.0000
0.9804 11.0601 2.1835
1.1949 14.1085 2.1835
1.7553 7.9546 2.1835
2.0353 4.8142 2.1835
3.6645 12.3265 2.1835
3.9445 0.4423 2.1835
4.5050 6.5963 2.1835
4.7194 3.5478 2.1835
6.6802 11.4767 2.1835
6.8947 8.4283 2.1835
7.4551 14.5822 2.1835
7.7351 2.6981 2.1835
9.3643 10.2103 2.1835
9.6443 7.0700 2.1835
10.2048 0.9160 2.1835
10.4192 3.9645 2.1835
```

Summary:
Fermi-level density of states, states/eV/cell: 11.64
Space group: No. 55
Calculated volume, A^3/atom: 31.17


Most stable pick: w. Distance to second place: 7 meV per atom.


w | Entry from Alexandria: a geometry-optimized BaIn8Hg2 structure (PBE).

The structure in POSCAR format:
```
BaIn8Hg2
1.0
7.6295 0.0000 0.0000
0.0000 7.6295 0.0000
0.0000 0.0000 6.2571
Ba In Hg
1 8 2
Cartesian
0.0000 0.0000 0.0000
2.2811 2.2811 1.5461
2.2811 2.2811 4.7110
2.2811 5.3485 1.5461
2.2811 5.3485 4.7110
5.3485 2.2811 1.5461
5.3485 2.2811 4.7110
5.3485 5.3485 1.5461
5.3485 5.3485 4.7110
0.0000 3.8148 3.1286
3.8148 0.0000 3.1286
```

Summary:
Fermi-level density of states, states/eV/cell: 7.92
Space group: No. 123
Calculated volume, A^3/atom: 33.11


x | Entry from Alexandria: a geometry-optimized BaIn8Hg2 structure (PBE).

The structure in POSCAR format:
```
BaIn8Hg2
1.0
5.6199 0.0000 0.0000
0.0000 5.6199 0.0000
0.0000 0.0000 10.9184
Ba In Hg
1 8 2
Cartesian
0.0000 0.0000 0.0000
0.0000 2.8099 2.3118
0.0000 2.8099 5.4592
0.0000 2.8099 8.6067
2.8099 0.0000 2.3118
2.8099 0.0000 5.4592
2.8099 0.0000 8.6067
2.8099 2.8099 3.7774
2.8099 2.8099 7.1411
0.0000 0.0000 3.7682
0.0000 0.0000 7.1503
```

Summary:
Fermi-level density of states, states/eV/cell: 3.87
Space group: No. 123
Calculated volume, A^3/atom: 31.35


Most stable pick: x. Distance to second place: 103 meV per atom.